## MnCdSn2 (PBE)

Data for MnCdSn2 after structural relaxation.

Crystal system   trigonal
E   -4.35 eV/atom

a b c (Å): 3.3402 3.3402 27.4442
angles (deg): 90.00 90.00 120.00
Last column: nearest neighbours and their distance in Å.
Element x y z (fractional)
1 Mn 0.0000 0.0000 0.0000  6 Sn 2.81
2 Mn 0.3333 0.6667 0.6667  6 Sn 2.81
3 Mn 0.6667 0.3333 0.3333  6 Sn 2.81
4 Cd 0.0000 0.0000 0.5000  6 Sn 3.18, 6 Cd 3.34
5 Cd 0.3333 0.6667 0.1667  6 Sn 3.18, 6 Cd 3.34
6 Cd 0.6667 0.3333 0.8333  6 Sn 3.18, 6 Cd 3.34
7 Sn 0.0000 0.0000 0.2587  3 Mn 2.81
8 Sn 0.0000 0.0000 0.7413  3 Mn 2.81
9 Sn 0.3333 0.6667 0.4079  3 Mn 2.81
10 Sn 0.3333 0.6667 0.9254  3 Mn 2.81
11 Sn 0.6667 0.3333 0.0746  3 Mn 2.81
12 Sn 0.6667 0.3333 0.5921  3 Mn 2.81

## Mn2CdSnTe (PBE)

Data for Mn2CdSnTe after structural relaxation.

Crystal system   tetragonal
E_form (uncorrected)   387 kJ/mol of formula units

a b c (Å): 5.0463 5.0463 5.6927
angles (deg): 90.00 90.00 90.00
Last column: nearest neighbours and their distance in Å.
Element x y z (fractional)
1 Mn 0.0000 0.5000 0.0000  2 Te 2.52
2 Mn 0.5000 0.0000 0.0000  2 Te 2.52
3 Cd 0.0000 0.0000 0.5000  2 Te 2.85
4 Sn 0.5000 0.5000 0.5000  4 Cd 3.57, 8 Mn 3.80
5 Te 0.0000 0.0000 0.0000  4 Mn 2.52

## SrMnCd2 (PBE)

Data for SrMnCd2 after structural relaxation.

Crystal system   cubic
E   -3.05 eV/atom

a b c (Å): 7.3964 7.3964 7.3964
angles (deg): 90.00 90.00 90.00
Last column: nearest neighbours and their distance in Å.
Element x y z (fractional)
1 Sr 0.0000 0.0000 0.0000  8 Cd 3.20
2 Sr 0.0000 0.5000 0.5000  8 Cd 3.20
3 Sr 0.5000 0.0000 0.5000  8 Cd 3.20
4 Sr 0.5000 0.5000 0.0000  8 Cd 3.20
5 Mn 0.0000 0.0000 0.5000  8 Cd 3.20
6 Mn 0.0000 0.5000 0.0000  8 Cd 3.20
7 Mn 0.5000 0.0000 0.0000  8 Cd 3.20
8 Mn 0.5000 0.5000 0.5000  8 Cd 3.20
9 Cd 0.2500 0.2500 0.2500  4 Mn 3.20, 4 Sr 3.20
10 Cd 0.2500 0.2500 0.7500  4 Mn 3.20, 4 Sr 3.20
11 Cd 0.2500 0.7500 0.2500  4 Mn 3.20, 4 Sr 3.20
12 Cd 0.2500 0.7500 0.7500  4 Mn 3.20, 4 Sr 3.20
13 Cd 0.7500 0.2500 0.2500  4 Mn 3.20, 4 Sr 3.20
14 Cd 0.7500 0.2500 0.7500  4 Mn 3.20, 4 Sr 3.20
15 Cd 0.7500 0.7500 0.2500  4 Mn 3.20, 4 Sr 3.20
16 Cd 0.7500 0.7500 0.7500  4 Mn 3.20, 4 Sr 3.20

| no. | DOS at the Fermi energy (states/eV/cell) | calculated volume (A^3/atom) |
| --- | --- | --- |
| 1 | 7.3 | 22.1 |
| 2 | 4.7 | 29.0 |
| 3 | 13.3 | 25.3 |